Entry 1:
Here is As2AuBr after structural relaxation from Alexandria via LeMat-Bulk. Energies are from PBE-GGA.

abc: 3.151 4.595 6.008
angles: 90.00 90.00 90.00
Space group Pmmm (No. 47)
One atom of each set of equivalent atoms:
As (0.000, 0.000, 0.000) x1
As (0.500, 0.000, 0.500) x1
Au (0.000, 0.500, 0.500) x1
Br (0.500, 0.500, 0.000) x1

Output
- total DFT energy (no corrections) (eV/atom) = -3.105
- energy relative to the lowest polymorph listed for this composition (kJ per mole of atoms) = 47.26
- N(E_F) (states/eV/cell) = 2.9
- size of the total moment (μB/atom) = 0.000
- formation energy from raw total energies (eV per atom) = 0.46



Entry 2:
Here is As2AuBr after structural relaxation from Alexandria via LeMat-Bulk. Energies are from PBE-GGA.

abc: 4.1853 4.1853 19.1960
angles: 90.00 90.00 120.00
Space group R-3m (No. 166, hexagonal axes)
One atom of each set of equivalent atoms:
As (0.0000, 0.0000, 0.2197) x6
Au (0.0000, 0.0000, 0.5000) x3
Br (0.0000, 0.0000, 0.0000) x3

Output
- total DFT energy (no corrections) (eV/atom) = -3.515
- energy relative to the lowest polymorph listed for this composition (kJ per mole of atoms) = 7.72
- N(E_F) (states/eV/cell) = 4.2
- size of the total moment (μB/atom) = 0.000
- formation energy from raw total energies (eV per atom) = 0.05



Entry 3:
Here is As2AuBr after structural relaxation from Alexandria via LeMat-Bulk. Energies are from PBE-GGA.

abc: 6.021 7.647 7.673
angles: 90.00 90.00 90.00
Space group Fmmm (No. 69)
One atom of each set of equivalent atoms:
As (0.000, 0.250, 0.250) x8
Au (0.000, 0.000, 0.000) x4
Br (0.000, 0.000, 0.500) x4

Output
- total DFT energy (no corrections) (eV/atom) = -3.300
- energy relative to the lowest polymorph listed for this composition (kJ per mole of atoms) = 28.44
- N(E_F) (states/eV/cell) = 7.6
- size of the total moment (μB/atom) = 0.000
- formation energy from raw total energies (eV per atom) = 0.26



Entry 4:
Here is AsAu2Br after structural relaxation from Alexandria via LeMat-Bulk. Energies are from PBE-GGA.

abc: 4.531 4.531 8.011
angles: 90.00 90.00 90.00
Space group I-4m2 (No. 119)
One atom of each set of equivalent atoms:
As (0.000, 0.000, 0.000) x2
Au (0.000, 0.000, 0.500) x2
Au (0.000, 0.500, 0.250) x2
Br (0.000, 0.500, 0.750) x2

Output
- total DFT energy (no corrections) (eV/atom) = -2.698
- energy relative to the lowest polymorph listed for this composition (kJ per mole of atoms) = 46.82
- N(E_F) (states/eV/cell) = 2.8
- size of the total moment (μB/atom) = 0.000
- formation energy from raw total energies (eV per atom) = 0.52